1.
A relaxed structure of SmErTl, computed with PBE.

Unit cell a=3.613 b=3.613 c=13.688 alpha=90.00 beta=90.00 gamma=90.00
Space group I4mm (No. 107)
Inequivalent atoms, fractional coordinates:
1 Sm 0.000 0.000 0.000
2 Er 0.000 0.000 0.687
3 Tl 0.000 0.000 0.338

Output
Total moment = 0.0 μB per cell
Polymorph energy (0 for the lowest one) = 36 meV per atom
E_tot = -24.6 eV per cell
ΔH_f (0 K) = -0.7 eV per formula unit

2.
A relaxed structure of ZrBePb2, computed with PBE.

Unit cell a=4.344 b=4.365 c=9.402 alpha=90.00 beta=90.00 gamma=90.00
Space group Immm (No. 71)
Inequivalent atoms, fractional coordinates:
1 Zr 0.000 0.000 0.000
2 Be 0.000 0.000 0.500
3 Pb 0.000 0.500 0.250

Output
Total moment = 0.0 μB per cell
E_tot = -36.8 eV per cell
ΔH_f (0 K) = 1.3 eV per formula unit